A plane-wave DFT calculation with PBE-GGA was carried out for a relaxed structure of LaTbCeTh.

Summary:
Formation energy from the elements: 0.031 eV/atom
Relative energy among the computed polymorphs: 0.00 eV per formula unit
Space-group type: P4mm, No. 99

a b c (Å): 3.555 3.555 10.098
angles (deg): 90.00 90.00 90.00
Fractional positions:
1 Th 0.000 0.000 0.579
2 Tb 0.500 0.500 0.336
3 La 0.000 0.000 0.060
4 Ce 0.500 0.500 0.810